This record from Alexandria via LeMat-Bulk describes crystalline SrMgP3 at its relaxed geometry. The functional is PBE.

extended XYZ file:
```
5
Lattice="-1.965 3.393 -2.922 -3.625 0.667 3.213 2.628 3.457 2.247" Properties=species:S:1:pos:R:3 pbc="T T T"
P -0.982 1.696 -1.461
Sr -1.481 3.759 1.269
Mg 0.000 0.000 0.000
P 1.314 1.728 1.124
P -1.812 0.334 1.606
```

Polymorph energy (0 for the lowest one) in meV/atom: 0
Total magnetic moment in μB per formula unit: 0.00
D(E_F) in states/eV/atom: 0.63
Energy relative to the elements in meV per atom: 52



This record from Alexandria via LeMat-Bulk describes crystalline CrMoPb at its relaxed geometry. The functional is PBE.

extended XYZ file:
```
3
Lattice="-2.635 1.135 6.635 -3.527 -1.629 5.780 2.352 0.007 1.905" Properties=species:S:1:pos:R:3 pbc="T T T"
Cr 2.183 -0.003 2.114
Pb -0.520 -0.162 5.450
Mo -3.121 -0.315 8.662
```

Polymorph energy (0 for the lowest one) in meV/atom: 106
Total magnetic moment in μB per formula unit: 0.34
D(E_F) in states/eV/atom: 0.92
Energy relative to the elements in meV per atom: 719



This record from Alexandria via LeMat-Bulk describes crystalline ZnIn2GeO6 at its relaxed geometry. The functional is PBE.

extended XYZ file:
```
10
Lattice="5.353 0.000 0.000 2.676 4.636 0.000 2.676 1.545 4.737" Properties=species:S:1:pos:R:3 pbc="T T T"
O 4.380 4.843 1.137
O 6.051 1.742 3.622
O 7.357 3.056 1.137
O 4.321 1.372 1.137
Ge 2.676 1.545 0.207
In 5.353 3.091 1.931
O 3.836 3.160 3.622
O 6.171 4.370 3.622
Zn 8.029 4.636 2.912
In 2.676 1.545 4.432
```

Total magnetic moment in μB per formula unit: 0.00
Energy relative to the elements, uncorrected in eV/atom: -1.53



This record from Alexandria via LeMat-Bulk describes crystalline Rb3Th2Te6Pd at its relaxed geometry. The functional is PBE.

extended XYZ file:
```
12
Lattice="7.801 0.191 -0.040 -3.733 6.853 -0.040 -1.401 -2.425 8.563" Properties=species:S:1:pos:R:3 pbc="T T T"
Rb 1.334 2.310 4.241
Te 0.056 0.096 6.679
Te -1.128 2.140 1.575
Pd 0.000 0.000 0.000
Te 2.612 4.523 1.803
Te 0.250 4.527 6.908
Th 0.104 4.637 -0.040
Te 2.417 0.092 1.575
Te 3.796 2.479 6.908
Rb 5.124 0.120 4.241
Rb -2.457 4.499 4.241
Th 3.964 2.407 -0.040
```

Total magnetic moment in μB per formula unit: 0.97
D(E_F) in states/eV/atom: 0.20
Energy relative to the elements, uncorrected in eV/atom: -1.00



This record from Alexandria via LeMat-Bulk describes crystalline Ba7Pd2Au2 at its relaxed geometry. The functional is PBE.

extended XYZ file:
```
11
Lattice="7.817 -0.003 -0.483 0.003 7.985 0.004 -0.969 -0.003 7.772" Properties=species:S:1:pos:R:3 pbc="T T T"
Pd 5.404 7.982 1.791
Ba 3.428 6.037 3.645
Ba -0.480 5.926 3.886
Ba 3.423 1.942 3.647
Ba 7.331 2.053 3.406
Ba 0.000 0.000 0.000
Au 1.629 3.991 1.733
Au 5.222 3.988 5.559
Ba 2.945 5.923 7.531
Pd 1.447 -0.003 5.501
Ba 3.906 2.056 -0.239
```

Polymorph energy (0 for the lowest one) in meV/atom: 0
Total magnetic moment in μB per formula unit: 0.00
D(E_F) in states/eV/atom: 0.52
Energy relative to the elements in meV per atom: -389



This record from Alexandria via LeMat-Bulk describes crystalline RbZn2HgRh at its relaxed geometry. The functional is PBE.

extended XYZ file:
```
5
Lattice="4.955 0.000 0.000 0.000 4.955 0.000 0.000 0.000 5.366" Properties=species:S:1:pos:R:3 pbc="T T T"
Hg 0.000 0.000 2.683
Rh 0.000 0.000 0.000
Rb 2.478 2.478 2.683
Zn 2.478 0.000 0.000
Zn 0.000 2.478 0.000
```

Total magnetic moment in μB per formula unit: 0.00
D(E_F) in states/eV/atom: 0.32
Energy relative to the elements in meV per atom: -133



Number 1: final energy -3.849 eV/atom. Number 2: final energy -7.336 eV/atom. Number 3: final energy -5.638 eV/atom. Number 4: final energy -4.478 eV/atom. Number 5: final energy -3.153 eV/atom. Number 6: final energy -2.366 eV/atom.